LaTm2In3AgPd2 | PBE | relaxed

Values from the calculation:
- space group = Amm2, No. 38
- spin magnetization (μB per atom) = 0.002
- ρ (g/cm³) = 9.2
- uncorrected energy (eV per atom) = -4.589

Cell: 3.830 7.876 7.876 Å, 120.32 90.00 90.00°
Atoms (fractional coordinates):
1 Ag 0.500 0.998 0.998
2 In 0.000 0.993 0.267
3 In 0.000 0.739 0.739
4 In 0.000 0.267 0.993
5 La 0.500 0.411 0.411
6 Pd 0.000 0.672 0.330
7 Pd 0.000 0.330 0.672
8 Tm 0.500 0.000 0.591
9 Tm 0.500 0.591 0.000